1.
Ac2CeLu | Alexandria via LeMat-Bulk | GGA-PBE | relaxed; polymorph energy (0 for the lowest one) = 0.000 eV per atom; DOS at the Fermi energy = 9.643 states/eV/f.u.; spin magnetization = 1.2 μB per formula unit; total energy = -4.5409 eV/atom; ΔH_f (0 K) = 0.127 eV per atom; density = 8.681 Mg/m³; symmetry = P4/mmm, No. 123
1.0
3.786 0.000 0.000
0.000 3.786 0.000
0.000 0.000 10.263
Ac Lu Ce
2 1 1
Cartesian
0.000 0.000 7.729 Ac
0.000 0.000 2.534 Ac
1.893 1.893 0.000 Lu
1.893 1.893 5.132 Ce

***

2.
Ac2CeLu | Alexandria via LeMat-Bulk | GGA-PBE | relaxed; polymorph energy (0 for the lowest one) = 0.004 eV per atom; DOS at the Fermi energy = 9.388 states/eV/f.u.; spin magnetization = 1.2 μB per formula unit; total energy = -4.5372 eV/atom; ΔH_f (0 K) = 0.131 eV per atom; density = 8.643 Mg/m³; symmetry = P4/mmm, No. 123
1.0
5.165 0.000 0.000
0.000 5.348 0.000
0.000 0.000 5.348
Ac Lu Ce
2 1 1
Cartesian
0.000 0.000 2.674 Ac
0.000 2.674 0.000 Ac
2.583 2.674 2.674 Lu
2.583 0.000 0.000 Ce

***

3.
Ac2CeLu | Alexandria via LeMat-Bulk | GGA-PBE | relaxed; polymorph energy (0 for the lowest one) = 0.093 eV per atom; DOS at the Fermi energy = 13.069 states/eV/f.u.; spin magnetization = 2.3 μB per formula unit; total energy = -4.4484 eV/atom; ΔH_f (0 K) = 0.220 eV per atom; density = 8.469 Mg/m³; symmetry = Fm-3m, No. 225
1.0
5.974 0.000 0.000
2.987 5.174 0.000
2.987 1.725 4.878
Ac Lu Ce
2 1 1
Cartesian
2.987 1.725 1.220 Ac
8.962 5.174 3.659 Ac
0.000 0.000 0.000 Lu
5.974 3.449 2.439 Ce